Material: ErPuCd2
Method: DFT, GGA-PBE
State: optimized geometry

Properties
Excess energy over the best structure of this formula in the dataset ... 5 meV per atom

abc: 3.562 5.436 5.436
angles: 90.00 90.00 90.00
Last column: magnetic moment on the atom in μB.
Atoms (fractional coordinates):
Er1 0.500 0.000 0.000  -0.04
Pu1 0.500 0.500 0.500  -5.62
Cd1 0.000 0.000 0.500  -0.03
Cd2 0.000 0.500 0.000  -0.03


Material: ErPuCd17
Method: DFT, GGA-PBE
State: optimized geometry

Properties
DFT total energy ... -35.55 eV/cell

abc: 7.687 7.687 7.687
angles: 81.54 81.54 81.54
Last column: magnetic moment on the atom in μB.
Atoms (fractional coordinates):
Cd1 0.104 0.104 0.104  0.00
Cd2 0.345 0.345 0.880  0.00
Er1 0.323 0.323 0.323  -0.03
Cd3 0.880 0.345 0.345  0.00
Cd4 0.974 0.974 0.528  0.00
Cd5 0.694 0.302 0.002  0.00
Cd6 0.215 0.619 0.619  0.00
Cd7 0.002 0.302 0.694  0.00
Cd8 0.911 0.911 0.911  0.00
Cd9 0.974 0.528 0.974  0.00
Pu1 0.667 0.667 0.667  5.56
Cd10 0.002 0.694 0.302  0.00
Cd11 0.619 0.619 0.215  0.00
Cd12 0.302 0.002 0.694  0.00
Cd13 0.528 0.974 0.974  0.00
Cd14 0.302 0.694 0.002  0.00
Cd15 0.694 0.002 0.302  0.00
Cd16 0.619 0.215 0.619  0.00
Cd17 0.345 0.880 0.345  0.00


Material: ErPuCd4
Method: DFT, GGA-PBE
State: optimized geometry

Properties
Excess energy over the best structure of this formula in the dataset ... 49 meV per atom

abc: 5.919 5.919 5.919
angles: 60.00 60.00 60.00
Last column: magnetic moment on the atom in μB.
Atoms (fractional coordinates):
Cd1 0.125 0.625 0.625  0.01
Cd2 0.625 0.625 0.625  0.01
Pu1 0.250 0.250 0.250  -5.47
Er1 0.000 0.000 0.000  -0.10
Cd3 0.625 0.625 0.125  0.01
Cd4 0.625 0.125 0.625  0.01


Material: Er5PuCd4
Method: DFT, GGA-PBE
State: optimized geometry

Properties
DFT total energy ... -42.85 eV/cell

abc: 3.667 3.667 19.580
angles: 90.00 90.00 90.00
Last column: magnetic moment on the atom in μB.
Atoms (fractional coordinates):
Cd1 0.000 0.000 0.790  -0.01
Cd2 0.000 0.000 0.404  0.00
Er1 0.500 0.500 0.886  0.24
Cd3 0.000 0.000 0.210  -0.01
Cd4 0.000 0.000 0.596  0.00
Er2 0.500 0.500 0.308  0.02
Pu1 0.000 0.000 0.000  5.53
Er3 0.500 0.500 0.500  0.01
Er4 0.500 0.500 0.692  0.02
Er5 0.500 0.500 0.114  0.24


Material: ErPuCd2
Method: DFT, GGA-PBE
State: optimized geometry

Properties
Excess energy over the best structure of this formula in the dataset ... 17 meV per atom

abc: 5.303 5.303 5.303
angles: 60.00 60.00 60.00
Last column: magnetic moment on the atom in μB.
Atoms (fractional coordinates):
Cd1 0.250 0.250 0.250  0.03
Pu1 0.500 0.500 0.500  5.48
Er1 0.000 0.000 0.000  0.23
Cd2 0.750 0.750 0.750  0.03


Material: ErPuCd6
Method: DFT, GGA-PBE
State: optimized geometry

Properties
DFT total energy ... -25.49 eV/cell

abc: 4.931 6.543 6.543
angles: 113.44 90.00 90.00
Last column: magnetic moment on the atom in μB.
Atoms (fractional coordinates):
Cd1 0.500 0.925 0.075  -0.01
Cd2 0.500 0.869 0.561  -0.01
Pu1 0.000 0.118 0.882  -5.47
Er1 0.500 0.383 0.617  0.02
Cd3 0.000 0.631 0.938  -0.01
Cd4 0.500 0.439 0.131  -0.01
Cd5 0.000 0.062 0.369  -0.01
Cd6 0.000 0.574 0.426  0.00


Material: ErPu2Cd
Method: DFT, GGA-PBE
State: optimized geometry

Properties
DFT total energy ... -33.99 eV/cell

abc: 5.247 4.475 4.475
angles: 90.00 90.00 90.00
Last column: magnetic moment on the atom in μB.
Atoms (fractional coordinates):
Pu1 0.000 0.000 0.500  5.67
Pu2 0.000 0.500 0.000  5.67
Er1 0.500 0.000 0.000  0.35
Cd1 0.500 0.500 0.500  0.01


Material: Er2PuCd
Method: DFT, GGA-PBE
State: optimized geometry

Properties
Excess energy over the best structure of this formula in the dataset ... 59 meV per atom

abc: 3.589 5.442 5.442
angles: 90.00 90.00 90.00
Last column: magnetic moment on the atom in μB.
Atoms (fractional coordinates):
Er1 0.000 0.500 0.000  0.32
Er2 0.000 0.000 0.500  0.32
Pu1 0.500 0.500 0.500  5.57
Cd1 0.500 0.000 0.000  -0.01


Material: ErPuCd4
Method: DFT, GGA-PBE
State: optimized geometry

Properties
Excess energy over the best structure of this formula in the dataset ... 0 meV per atom

abc: 5.071 6.574 9.355
angles: 69.43 90.00 90.00
Last column: magnetic moment on the atom in μB.
Atoms (fractional coordinates):
Cd1 0.750 0.041 0.916  0.00
Pu1 0.750 0.625 0.249  5.52
Cd2 0.250 0.793 0.417  0.00
Cd3 0.750 0.710 0.583  0.00
Cd4 0.750 0.543 0.916  0.00
Cd5 0.250 0.290 0.417  0.00
Cd6 0.250 0.457 0.084  0.00
Cd7 0.250 0.959 0.084  0.00
Pu2 0.250 0.375 0.751  5.52
Cd8 0.750 0.207 0.583  0.00
Er1 0.750 0.126 0.247  0.21
Er2 0.250 0.874 0.753  0.21


Material: Er4PuCd5
Method: DFT, GGA-PBE
State: optimized geometry

Properties
DFT total energy ... -39.52 eV/cell

abc: 3.705 3.705 18.825
angles: 90.00 90.00 90.00
Last column: magnetic moment on the atom in μB.
Atoms (fractional coordinates):
Pu1 0.000 0.000 0.000  5.55
Er1 0.000 0.000 0.796  0.01
Cd1 0.500 0.500 0.303  0.00
Er2 0.000 0.000 0.401  0.00
Cd2 0.500 0.500 0.500  0.00
Cd3 0.500 0.500 0.697  0.00
Cd4 0.500 0.500 0.109  0.01
Er3 0.000 0.000 0.599  0.00
Er4 0.000 0.000 0.204  0.01
Cd5 0.500 0.500 0.891  0.01


Material: Er2PuCd
Method: DFT, GGA-PBE
State: optimized geometry

Properties
Excess energy over the best structure of this formula in the dataset ... 138 meV per atom

abc: 5.362 5.362 5.362
angles: 60.00 60.00 60.00
Last column: magnetic moment on the atom in μB.
Atoms (fractional coordinates):
Pu1 0.000 0.000 0.000  5.64
Er1 0.750 0.750 0.750  0.32
Er2 0.250 0.250 0.250  0.32
Cd1 0.500 0.500 0.500  -0.02


Material: Er2PuCd
Method: DFT, GGA-PBE
State: optimized geometry

Properties
Excess energy over the best structure of this formula in the dataset ... 0 meV per atom

abc: 3.452 3.452 9.142
angles: 90.00 90.00 90.00
Last column: magnetic moment on the atom in μB.
Atoms (fractional coordinates):
Cd1 0.500 0.500 0.000  0.01
Er1 0.000 0.000 0.766  -0.18
Er2 0.000 0.000 0.234  -0.18
Pu1 0.500 0.500 0.500  -5.48


Material: ErPuCdRh
Method: DFT, GGA-PBE
State: optimized geometry

Properties
DFT total energy ... -28.32 eV/cell

abc: 5.053 5.053 5.053
angles: 60.00 60.00 60.00
Last column: magnetic moment on the atom in μB.
Atoms (fractional coordinates):
Rh1 0.250 0.250 0.250  0.21
Pu1 0.500 0.500 0.500  -5.26
Er1 0.000 0.000 0.000  -0.10
Cd1 0.750 0.750 0.750  -0.02


Material: ErPuCdRu
Method: DFT, GGA-PBE
State: optimized geometry

Properties
Excess energy over the best structure of this formula in the dataset ... 0 meV per atom

abc: 3.319 3.319 8.266
angles: 90.00 90.00 90.00
Last column: magnetic moment on the atom in μB.
Atoms (fractional coordinates):
Cd1 0.000 0.000 0.066  0.01
Er1 0.500 0.500 0.780  0.09
Ru1 0.000 0.000 0.574  -0.39
Pu1 0.500 0.500 0.364  5.19


Material: ErPuCdRu
Method: DFT, GGA-PBE
State: optimized geometry

Properties
Excess energy over the best structure of this formula in the dataset ... 171 meV per atom

abc: 5.020 5.020 5.020
angles: 60.00 60.00 60.00
Last column: magnetic moment on the atom in μB.
Atoms (fractional coordinates):
Cd1 0.250 0.250 0.250  -0.03
Er1 0.500 0.500 0.500  -0.14
Pu1 0.000 0.000 0.000  -5.23
Ru1 0.750 0.750 0.750  0.40


Material: ErPuCdSi
Method: DFT, GGA-PBE
State: optimized geometry

Properties
Raw formation energy ... -0.9 eV per formula unit

abc: 5.106 5.106 5.106
angles: 60.00 60.00 60.00
Last column: magnetic moment on the atom in μB.
Atoms (fractional coordinates):
Er1 0.500 0.500 0.500  0.33
Si1 0.750 0.750 0.750  -0.04
Cd1 0.250 0.250 0.250  0.05
Pu1 0.000 0.000 0.000  5.46


Material: TbErPuCd
Method: DFT, GGA-PBE
State: optimized geometry

Properties
DFT total energy ... -24.15 eV/cell

abc: 5.387 5.387 5.387
angles: 60.00 60.00 60.00
Last column: magnetic moment on the atom in μB.
Atoms (fractional coordinates):
Er1 0.750 0.750 0.750  0.31
Cd1 0.000 0.000 0.000  -0.02
Tb1 0.250 0.250 0.250  0.28
Pu1 0.500 0.500 0.500  5.64


Material: ErPuThCd
Method: DFT, GGA-PBE
State: optimized geometry

Properties
DFT total energy ... -26.82 eV/cell

abc: 5.398 5.398 5.398
angles: 60.00 60.00 60.00
Last column: magnetic moment on the atom in μB.
Atoms (fractional coordinates):
Pu1 0.000 0.000 0.000  5.61
Th1 0.750 0.750 0.750  0.34
Cd1 0.500 0.500 0.500  -0.03
Er1 0.250 0.250 0.250  0.22


Material: ErPuZnCd
Method: DFT, GGA-PBE
State: optimized geometry

Properties
DFT total energy ... -21.55 eV/cell

abc: 5.176 5.176 5.176
angles: 60.00 60.00 60.00
Last column: magnetic moment on the atom in μB.
Atoms (fractional coordinates):
Zn1 0.250 0.250 0.250  0.03
Er1 0.000 0.000 0.000  0.27
Pu1 0.500 0.500 0.500  5.45
Cd1 0.750 0.750 0.750  0.03


Material: RbErCd
Method: DFT, GGA-PBE
State: optimized geometry

Properties
DFT total energy ... -11.36 eV/cell

abc: 3.847 3.847 17.931
angles: 90.00 90.00 120.00
Atoms (fractional coordinates):
Rb1 0.610 0.221 0.673
Er1 0.278 0.557 0.124
Er2 0.278 0.557 0.876
Cd1 0.612 0.224 0.000
Rb2 0.610 0.221 0.327
Cd2 0.277 0.554 0.500